Density functional theory data (GGA-PBE) for a relaxed CrReIr2 crystal.

Structure (POSCAR):
```
CrReIr2
1.0
2.7117 0.0080 0.0000
-0.0080 2.7117 0.0000
0.0000 0.0000 7.6797
Ir Cr Re
2 1 1
Direct
0.5000 0.5000 0.2572
0.0000 0.0000 0.9808
0.5000 0.5000 0.7606
0.0000 0.0000 0.5013
```

space-group type	P4mm
calculated formation energy	-0.083	eV/atom
polymorph energy (0 for the lowest one)	177	meV/atom
V	14.12	A^3/atom
magnetization	0.00	μB per atom



Density functional theory data (GGA-PBE) for a relaxed Ca2DySc crystal.

Structure (POSCAR):
```
Ca2DySc
1.0
-0.7527 0.7481 3.3269
0.2507 -2.4789 2.4469
11.9558 2.6419 3.9435
Sc Dy Ca
1 1 2
Direct
0.0000 0.0000 0.0000
0.5000 0.5000 0.5000
0.0851 0.0851 0.7448
0.9149 0.9149 0.2552
```

space-group type	R-3m
calculated formation energy	0.323	eV/atom
V	33.54	A^3/atom
magnetization	0.17	μB per atom



Density functional theory data (GGA-PBE) for a relaxed LaSi4As crystal.

Structure (POSCAR):
```
LaSi4As
1.0
0.0000 3.7926 3.7926
3.7926 0.0000 3.7926
3.7926 3.7926 0.0000
As Si La
1 4 1
Direct
0.7500 0.7500 0.7500
0.3774 0.8679 0.3774
0.8679 0.3774 0.3774
0.3774 0.3774 0.3774
0.3774 0.3774 0.8679
0.0000 0.0000 0.0000
```

space-group type	F-43m
formation energy without anion corrections	-0.052	eV/atom
V	18.18	A^3/atom
magnetization	0.00	μB per atom



Density functional theory data (GGA-PBE) for a relaxed Sc3Hg2 crystal.

Structure (POSCAR):
```
Sc3Hg2
1.0
-6.0689 -6.5142 -1.2566
-7.3924 -0.9743 -2.8154
0.9379 -4.0758 -4.1689
Sc Hg
6 4
Direct
0.4729 0.7304 0.4545
0.5196 0.7771 0.9078
0.9184 0.0816 0.0816
0.7955 0.9078 0.7771
0.3422 0.4545 0.7304
0.1684 0.3316 0.3316
0.9080 0.1903 0.5433
0.3584 0.5433 0.1903
0.0597 0.3420 0.8916
0.7067 0.8916 0.3420
```

space-group type	Fdd2
calculated formation energy	-0.257	eV/atom
V	22.39	A^3/atom
magnetization	0.00	μB per atom



Density functional theory data (GGA-PBE) for a relaxed CeGeSb crystal.

Structure (POSCAR):
```
CeGeSb
1.0
5.1827 0.0000 0.0000
2.5914 4.4884 0.0000
2.5914 1.4961 7.2085
Ge Sb Ce
2 2 2
Direct
0.2824 0.2824 0.1528
0.7176 0.7176 0.8472
0.1574 0.1574 0.5279
0.8426 0.8426 0.4721
0.4139 0.4139 0.7583
0.5861 0.5861 0.2417
```

space-group type	R-3m
formation energy without anion corrections	-0.343	eV/atom
V	27.95	A^3/atom
magnetization	0.00	μB per atom